1.
DFT (GGA-PBE) results for a relaxed structure of VPAuCl2.

Unit cell a=4.9542 b=4.9542 c=4.9776 alpha=90.00 beta=90.00 gamma=90.00
Last column: nearest neighbours and their distance in Å.
Space group P4/mmm (No. 123)
Asymmetric unit:
V  0.0000  0.0000  0.0000 (multiplicity 1)  4 P 3.50, 8 Cl 3.51
P  0.5000  0.5000  0.0000 (multiplicity 1)  2 Au 2.49
Au  0.5000  0.5000  0.5000 (multiplicity 1)  4 Cl 2.48, 2 P 2.49
Cl  0.0000  0.5000  0.5000 (multiplicity 2)  2 Au 2.48

Properties
Raw formation energy in kcal/mol of atoms: 16.77
Energy above the lowest structure with this stoichiometry in eV/atom: 0.682
Crystal system: tetragonal

---

2.
DFT (GGA-PBE) results for a relaxed structure of Ba3SnS5.

Unit cell a=8.5456 b=8.5456 c=14.5760 alpha=90.00 beta=90.00 gamma=90.00
Last column: nearest neighbours and their distance in Å.
Space group I4/mcm (No. 140)
Asymmetric unit:
Ba  0.0000  0.0000  0.2500 (multiplicity 4)  10 S 3.57-3.64
Ba  0.1632  0.3368  0.0000 (multiplicity 8)  8 S 3.09-3.45
Sn  0.0000  0.5000  0.2500 (multiplicity 4)  4 S 2.38
S  0.0000  0.0000  0.0000 (multiplicity 4)  4 Ba 3.20
S  0.1529  0.3471  0.3531 (multiplicity 16)  1 Sn 2.38

Properties
Raw formation energy in kcal/mol of atoms: -35.17
Crystal system: tetragonal

---

3.
DFT (GGA-PBE) results for a relaxed structure of CdRu3F.

Unit cell a=5.0248 b=5.0248 c=5.0248 alpha=90.00 beta=90.00 gamma=90.00
Last column: nearest neighbours and their distance in Å.
Space group Pm-3m (No. 221)
Asymmetric unit:
Cd  0.0000  0.0000  0.0000 (multiplicity 1)  6 Ru 2.51
Ru  0.0000  0.0000  0.5000 (multiplicity 3)  2 Cd 2.51
F  0.5000  0.5000  0.5000 (multiplicity 1)  12 Ru 3.55

Properties
Raw formation energy in kcal/mol of atoms: 50.57
Crystal system: cubic

---

4.
DFT (GGA-PBE) results for a relaxed structure of BaTlRu3.

Unit cell a=5.1250 b=5.1250 c=5.1250 alpha=90.00 beta=90.00 gamma=90.00
Last column: nearest neighbours and their distance in Å.
Space group Pm-3m (No. 221)
Asymmetric unit:
Ba  0.0000  0.0000  0.0000 (multiplicity 1)  12 Ru 3.62
Tl  0.5000  0.5000  0.5000 (multiplicity 1)  6 Ru 2.56
Ru  0.0000  0.5000  0.5000 (multiplicity 3)  2 Tl 2.56

Properties
Energy above the lowest structure with this stoichiometry in eV/atom: 0.000
Formation enthalpy at 0 K in eV per atom: 1.5636
Crystal system: cubic

---

5.
DFT (GGA-PBE) results for a relaxed structure of Rb4Tb3ZrS8.

Unit cell a=8.0451 b=8.0451 c=23.0849 alpha=90.00 beta=90.00 gamma=120.00
Last column: nearest neighbours and their distance in Å.
Space group R-3m (No. 166, hexagonal axes)
Asymmetric unit:
Rb  0.0000  0.0000  0.0000 (multiplicity 3)  6 S 3.39
Rb  0.0000  0.5000  0.0000 (multiplicity 9)  6 S 3.29-3.30
Tb  0.0000  0.5000  0.5000 (multiplicity 9)  6 S 2.77-2.79
Zr  0.0000  0.0000  0.5000 (multiplicity 3)  6 S 2.67
S  0.0000  0.0000  0.2318 (multiplicity 6)  3 Tb 2.77
S  0.0133  0.5066  0.2304 (multiplicity 18)  1 Zr 2.67, 2 Tb 2.79

Properties
Raw formation energy in kcal/mol of atoms: -39.94
Crystal system: trigonal

---

6.
DFT (GGA-PBE) results for a relaxed structure of Re2NiPt4.

Unit cell a=4.6790 b=4.6790 c=12.1622 alpha=90.00 beta=90.00 gamma=90.00
Last column: nearest neighbours and their distance in Å.
Space group I4/mmm (No. 139)
Asymmetric unit:
Re  0.0000  0.0000  0.1021 (multiplicity 4)  5 Pt 2.40-2.65, 1 Re 2.48
Ni  0.0000  0.0000  0.5000 (multiplicity 2)  6 Pt 2.34-2.44
Pt  0.0000  0.0000  0.2997 (multiplicity 4)  1 Re 2.40, 1 Ni 2.44
Pt  0.0000  0.5000  0.0000 (multiplicity 4)  2 Ni 2.34

Properties
Formation enthalpy at 0 K in eV per atom: 1.0583
Crystal system: tetragonal

---

7.
DFT (GGA-PBE) results for a relaxed structure of Ca2SmYTe4.

Unit cell a=7.6441 b=4.4153 c=7.8178 alpha=90.00 beta=109.07 gamma=90.00
Last column: nearest neighbours and their distance in Å.
Space group P2/m (No. 10)
Asymmetric unit:
Ca  0.0000  0.0000  0.0000 (multiplicity 1)  6 Te 3.17
Ca  0.5000  0.5000  0.0000 (multiplicity 1)  6 Te 3.14
Sm  0.0000  0.5000  0.5000 (multiplicity 1)  6 Te 3.16
Y  0.5000  0.0000  0.5000 (multiplicity 1)  6 Te 3.13
Te  0.2534  0.0000  0.7499 (multiplicity 2)  1 Y 3.13, 3 Ca 3.14-3.17, 2 Sm 3.16
Te  0.2540  0.5000  0.2526 (multiplicity 2)  2 Y 3.13, 3 Ca 3.14-3.17, 1 Sm 3.16

Properties
Raw formation energy in kcal/mol of atoms: -34.19
Crystal system: monoclinic

---

8.
DFT (GGA-PBE) results for a relaxed structure of NaTl14Sb.

Unit cell a=11.3630 b=7.0106 c=12.1498 alpha=90.00 beta=90.00 gamma=90.00
Last column: nearest neighbours and their distance in Å.
Space group Amm2 (No. 38)
Asymmetric unit:
Na  0.0000  0.0000  0.0000 (multiplicity 2)  10 Tl 3.44-3.56, 2 Sb 3.51
Tl  0.0000  0.2414  0.2478 (multiplicity 4)  8 Tl 3.39-3.63, 2 Na 3.45-3.56, 2 Sb 3.46-3.56
Tl  0.2440  0.2462  0.4195 (multiplicity 8)  1 Sb 3.43, 1 Na 3.44, 10 Tl 3.45-3.56
Tl  0.2446  0.0000  0.6709 (multiplicity 4)  1 Sb 3.43, 11 Tl 3.45-3.54
Tl  0.2558  0.0000  0.1687 (multiplicity 4)  11 Tl 3.42-3.51, 1 Na 3.56
Tl  0.5000  0.0000  0.3339 (multiplicity 2)  12 Tl 3.42-3.54
Tl  0.5000  0.0000  0.8383 (multiplicity 2)  12 Tl 3.47-3.55
Tl  0.5000  0.2472  0.5842 (multiplicity 4)  12 Tl 3.45-3.54
Sb  0.0000  0.0000  0.5051 (multiplicity 2)  10 Tl 3.43-3.56, 2 Na 3.51

Properties
Raw formation energy in kcal/mol of atoms: -0.40
Crystal system: orthorhombic

---

9.
DFT (GGA-PBE) results for a relaxed structure of Li12Cd5Pt2.

Unit cell a=12.7290 b=7.7780 c=6.7686 alpha=90.00 beta=90.50 gamma=90.00
Last column: nearest neighbours and their distance in Å.
Space group C2/m (No. 12)
Asymmetric unit:
Li  0.0477  0.0000  0.3080 (multiplicity 4)  2 Pt 2.61, 5 Li 2.73-2.88, 2 Cd 2.83-2.84
Li  0.0790  0.5000  0.8956 (multiplicity 4)  3 Li 2.47-2.70, 2 Pt 2.73
Li  0.1228  0.2120  0.6888 (multiplicity 8)  1 Pt 2.64, 2 Li 2.70-2.73, 3 Cd 2.85-2.89
Li  0.1445  0.3083  0.2337 (multiplicity 8)  1 Pt 2.59, 2 Li 2.74-2.85, 1 Cd 2.88
Cd  0.0000  0.5000  0.5000 (multiplicity 2)  10 Li 2.85-3.01, 2 Cd 3.09
Cd  0.1987  0.0000  0.0030 (multiplicity 4)  8 Li 2.83-2.97, 2 Pt 2.92, 1 Cd 3.11
Cd  0.2417  0.5000  0.5506 (multiplicity 4)  10 Li 2.84-3.15, 2 Cd 3.09-3.11
Pt  0.0000  0.1864  0.0000 (multiplicity 4)  8 Li 2.59-2.73, 1 Pt 2.90

Properties
Formation enthalpy at 0 K in eV per atom: -0.2638
Crystal system: monoclinic

---

10.
DFT (GGA-PBE) results for a relaxed structure of HfInAu.

Unit cell a=3.2333 b=5.8218 c=7.4950 alpha=110.75 beta=90.06 gamma=105.98
Last column: nearest neighbours and their distance in Å.
Space group P-1 (No. 2)
Asymmetric unit:
Hf  0.1484  0.2952  0.0434 (multiplicity 2)  4 Au 2.95-2.96, 5 Hf 3.06-3.23, 3 In 3.10-3.26
In  0.1626  0.3251  0.6177 (multiplicity 2)  5 Au 2.95-3.19, 3 Hf 3.10-3.26, 2 In 3.23
Au  0.4668  0.9336  0.7299 (multiplicity 2)  4 Hf 2.95-2.96, 5 In 2.95-3.19, 2 Au 3.23

Properties
Formation enthalpy at 0 K in eV per atom: -0.2713
Crystal system: triclinic

---

11.
DFT (GGA-PBE) results for a relaxed structure of HoPuMoRu.

Unit cell a=6.7965 b=6.7965 c=6.7965 alpha=90.00 beta=90.00 gamma=90.00
Last column: nearest neighbours and their distance in Å.
Space group F-43m (No. 216)
Asymmetric unit:
Ho  0.0000  0.0000  0.0000 (multiplicity 4)  4 Mo 2.94, 4 Ru 2.94
Pu  0.0000  0.0000  0.5000 (multiplicity 4)  4 Mo 2.94, 4 Ru 2.94
Mo  0.2500  0.2500  0.2500 (multiplicity 4)  4 Ho 2.94, 4 Pu 2.94
Ru  0.2500  0.2500  0.7500 (multiplicity 4)  4 Pu 2.94, 4 Ho 2.94

Properties
Formation enthalpy at 0 K in eV per atom: 0.0659
Crystal system: cubic

---

12.
DFT (GGA-PBE) results for a relaxed structure of Pt4F.

Unit cell a=4.3255 b=4.3255 c=4.3255 alpha=90.00 beta=90.00 gamma=90.00
Last column: nearest neighbours and their distance in Å.
Space group Pm-3m (No. 221)
Asymmetric unit:
Pt  0.0000  0.0000  0.0000 (multiplicity 1)  12 Pt 3.06
Pt  0.0000  0.5000  0.5000 (multiplicity 3)  2 F 2.16
F  0.5000  0.5000  0.5000 (multiplicity 1)  6 Pt 2.16

Properties
Raw formation energy in kcal/mol of atoms: 20.30
Crystal system: cubic

---

13.
DFT (GGA-PBE) results for a relaxed structure of Tc2Pb.

Unit cell a=3.5619 b=3.5619 c=4.8582 alpha=90.00 beta=90.00 gamma=90.00
Last column: nearest neighbours and their distance in Å.
Space group P4/mmm (No. 123)
Asymmetric unit:
Tc  0.0000  0.5000  0.0000 (multiplicity 2)  4 Tc 2.52
Pb  0.0000  0.0000  0.5000 (multiplicity 1)  8 Tc 3.01

Properties
Energy above the lowest structure with this stoichiometry in eV/atom: 0.457
Formation enthalpy at 0 K in eV per atom: 0.8197
Crystal system: tetragonal

---

14.
DFT (GGA-PBE) results for a relaxed structure of Ba2MgTl7Pb2.

Unit cell a=7.1320 b=6.9621 c=16.4201 alpha=90.00 beta=95.85 gamma=90.00
Last column: nearest neighbours and their distance in Å.
Space group C2/m (No. 12)
Asymmetric unit:
Ba  0.0952  0.0000  0.3331 (multiplicity 4)  2 Tl 3.53-3.73, 4 Pb 3.63-3.74
Mg  0.0000  0.0000  0.0000 (multiplicity 2)  12 Tl 3.36-3.57
Tl  0.0000  0.5000  0.0000 (multiplicity 2)  8 Tl 3.36-3.40, 4 Mg 3.48-3.57
Tl  0.1945  0.5000  0.4626 (multiplicity 4)  1 Tl 3.15, 1 Pb 3.18
Tl  0.2108  0.2493  0.8599 (multiplicity 8)  2 Pb 3.25-3.30, 2 Mg 3.36-3.41, 6 Tl 3.36-3.57
Pb  0.0759  0.5000  0.2704 (multiplicity 4)  5 Tl 3.18-3.30

Properties
Formation enthalpy at 0 K in eV per atom: -0.1682
Crystal system: monoclinic

---

15.
DFT (GGA-PBE) results for a relaxed structure of Pr8OsPt3I4.

Unit cell a=8.5696 b=8.5696 c=24.4847 alpha=90.00 beta=90.00 gamma=120.00
Last column: nearest neighbours and their distance in Å.
Space group R-3m (No. 166, hexagonal axes)
Asymmetric unit:
Pr  0.0000  0.0000  0.2287 (multiplicity 6)  3 Pt 2.90
Pr  0.0102  0.5051  0.2291 (multiplicity 18)  1 Os 2.84, 2 Pt 2.94
Os  0.0000  0.0000  0.5000 (multiplicity 3)  6 Pr 2.84
Pt  0.0000  0.5000  0.5000 (multiplicity 9)  6 Pr 2.90-2.94
I  0.0000  0.0000  0.0000 (multiplicity 3)  6 Pr 3.61
I  0.0000  0.5000  0.0000 (multiplicity 9)  6 Pr 3.53-3.56

Properties
Raw formation energy in kcal/mol of atoms: -22.98
Crystal system: trigonal

---

16.
DFT (GGA-PBE) results for a relaxed structure of RuAuI2.

Unit cell a=6.5301 b=6.5301 c=11.4697 alpha=90.00 beta=90.00 gamma=90.00
Last column: nearest neighbours and their distance in Å.
Space group I-42d (No. 122)
Asymmetric unit:
Ru  0.0000  0.0000  0.0000 (multiplicity 4)  4 I 2.58
Au  0.0000  0.0000  0.5000 (multiplicity 4)  4 I 2.87
I  0.2128  0.2500  0.1250 (multiplicity 8)  2 Ru 2.58, 2 Au 2.87

Properties
Raw formation energy in kcal/mol of atoms: 13.13
Energy above the lowest structure with this stoichiometry in eV/atom: 0.000
Crystal system: tetragonal

---

17.
DFT (GGA-PBE) results for a relaxed structure of TiPPt3.

Unit cell a=4.6757 b=4.6757 c=4.6757 alpha=90.00 beta=90.00 gamma=90.00
Last column: nearest neighbours and their distance in Å.
Space group Pm-3m (No. 221)
Asymmetric unit:
Ti  0.0000  0.0000  0.0000 (multiplicity 1)  6 Pt 2.34
P  0.5000  0.5000  0.5000 (multiplicity 1)  12 Pt 3.31
Pt  0.0000  0.0000  0.5000 (multiplicity 3)  2 Ti 2.34

Properties
Energy above the lowest structure with this stoichiometry in eV/atom: 0.888
Formation enthalpy at 0 K in eV per atom: 0.8951
Crystal system: cubic

---

18.
DFT (GGA-PBE) results for a relaxed structure of AlOF2.

Unit cell a=3.1917 b=3.1917 c=19.8102 alpha=90.00 beta=90.00 gamma=120.00
Last column: nearest neighbours and their distance in Å.
Space group R-3m (No. 166, hexagonal axes)
Asymmetric unit:
Al  0.0000  0.0000  0.0000 (multiplicity 3)  6 F 2.00
O  0.0000  0.0000  0.5000 (multiplicity 3)  2 F 2.53
F  0.0000  0.0000  0.3721 (multiplicity 6)  3 Al 2.00

Properties
Raw formation energy in kcal/mol of atoms: -26.07
Energy above the lowest structure with this stoichiometry in eV/atom: 0.553
Crystal system: trigonal

---

19.
DFT (GGA-PBE) results for a relaxed structure of Ba2AgH6.

Unit cell a=4.1814 b=4.1814 c=14.6689 alpha=90.00 beta=90.00 gamma=90.00
Last column: nearest neighbours and their distance in Å.
Space group I4/mmm (No. 139)
Asymmetric unit:
Ba  0.0000  0.0000  0.1451 (multiplicity 4)  4 H 2.60
Ag  0.0000  0.0000  0.5000 (multiplicity 2)  2 H 1.75
H  0.0000  0.0000  0.3804 (multiplicity 4)  1 Ag 1.75
H  0.0000  0.5000  0.0000 (multiplicity 4)  2 Ag 2.09
H  0.0000  0.5000  0.2500 (multiplicity 4)  4 Ba 2.60, 4 H 2.83

Properties
Crystal system: tetragonal

---

20.
DFT (GGA-PBE) results for a relaxed structure of Zr9Re4B.

Unit cell a=8.5135 b=8.5135 c=8.7021 alpha=90.00 beta=90.00 gamma=120.00
Last column: nearest neighbours and their distance in Å.
Space group P6_3/mmc (No. 194)
Asymmetric unit:
Zr  0.0795  0.5397  0.2500 (multiplicity 6)  2 Re 2.88, 1 B 3.04, 4 Zr 3.16
Zr  0.2012  0.4025  0.5554 (multiplicity 12)  1 B 2.58
Re  0.0000  0.0000  0.0000 (multiplicity 2)  6 Re 2.70, 6 Zr 3.01
Re  0.1081  0.2161  0.2500 (multiplicity 6)  4 Re 2.70-2.76, 4 Zr 2.88-2.99
B  0.3333  0.6667  0.7500 (multiplicity 2)  6 Zr 2.58

Properties
Formation enthalpy at 0 K in eV per atom: -0.2693
Crystal system: hexagonal

---

no.,electronic total energy (eV/atom)
1,-3.572
2,-4.904
3,-3.930
4,-4.860
5,-5.440
6,-6.776
7,-4.952
8,-2.428
9,-2.349
10,-5.594
11,-9.688
12,-4.327
13,-7.327
14,-2.620
15,-5.608
16,-3.344
17,-5.390
18,-4.241
19,-3.260
20,-9.798